DFT (PBE) results for crystalline AgSbSe2 at its relaxed geometry. Values from VASP.

Quantum ESPRESSO input file:
```
&SYSTEM
  ibrav = 0, nat = 4, ntyp = 3
/
ATOMIC_SPECIES
Se 78.96 Se.upf
Ag 107.87 Ag.upf
Sb 121.76 Sb.upf
CELL_PARAMETERS angstrom
-3.120 6.483 0.678
-6.247 3.584 0.603
-4.054 4.264 4.197
ATOMIC_POSITIONS crystal
Se 0.212 0.212 0.212
Se 0.016 0.016 0.016
Ag 0.515 0.515 0.515
Sb 0.756 0.756 0.756
```

Values from the calculation:
total moment = 0.00 μB/cell
electronic total energy = -3.49 eV per atom
mass density = 6.01 g/cm³
N(E_F) = 0.49 states/eV/f.u.